Entry 1:
{
  "formula": "BaSmSnAu",
  "functional": "GGA-PBE",
  "state": "relaxed",
  "lattice_angstrom": [[-0.931, 3.129, -4.549], [2.134, -1.541, -4.942], [-3.383, -1.880, -4.047]],
  "species": ["Ba", "Sm", "Sn", "Au"],
  "frac_coords": [[0.250, 0.250, 0.250], [0.750, 0.750, 0.750], [0.000, 0.000, 0.000], [0.500, 0.500, 0.500]],
  "magnetic_moment_mub_per_atom": 0.00,
  "rho_g_cm3": 8.1,
  "n_ef_per_ev_cell": 1.1,
  "space_group": "F-43m",
  "formation_energy_ev_per_atom": -0.5909
}

Entry 2:
{
  "formula": "LaTbPb2",
  "functional": "GGA-PBE",
  "state": "relaxed",
  "lattice_angstrom": [[-1.975, -2.392, 3.740], [2.830, -1.689, 3.570], [-0.470, 4.630, 5.869]],
  "species": ["Pb", "Tb", "La", "Pb"],
  "frac_coords": [[0.090, 0.090, 0.730], [0.495, 0.495, 0.514], [0.671, 0.671, 0.988], [0.244, 0.244, 0.267]],
  "magnetic_moment_mub_per_atom": 0.00,
  "rho_g_cm3": 8.3,
  "n_ef_per_ev_cell": 3.6,
  "space_group": "R3m",
  "formation_energy_ev_per_atom": -0.3761
}

Entry 3:
{
  "formula": "Pa3Zn4Au2",
  "functional": "GGA-PBE",
  "state": "relaxed",
  "lattice_angstrom": [[4.659, 0.000, 0.000], [-2.330, 4.718, -2.050], [0.000, -1.059, 8.595]],
  "species": ["Pa", "Pa", "Zn", "Au", "Zn", "Pa", "Zn", "Zn", "Au"],
  "frac_coords": [[0.000, 0.000, 0.000], [0.334, 0.667, 0.333], [0.734, 0.468, 0.062], [0.614, 0.228, 0.279], [0.955, 0.909, 0.617], [0.666, 0.333, 0.667], [0.045, 0.091, 0.383], [0.266, 0.532, 0.938], [0.386, 0.772, 0.721]],
  "magnetic_moment_mub_per_atom": 0.00,
  "rho_g_cm3": 12.5,
  "n_ef_per_ev_cell": 13.5,
  "space_group": "C2/m",
  "formation_energy_ev_per_atom": -0.2512
}

Entry 4:
{
  "formula": "La2Ag2P",
  "functional": "GGA-PBE",
  "state": "relaxed",
  "lattice_angstrom": [[7.947, 0.000, 0.000], [0.000, 7.947, 0.000], [0.000, 0.000, 4.542]],
  "species": ["Ag", "Ag", "P", "La", "La", "Ag", "Ag", "P", "La", "La"],
  "frac_coords": [[0.624, 0.876, 0.500], [0.124, 0.624, 0.500], [0.500, 0.500, 0.000], [0.677, 0.177, 0.000], [0.323, 0.823, 0.000], [0.376, 0.124, 0.500], [0.876, 0.376, 0.500], [0.000, 0.000, 0.000], [0.177, 0.323, 0.000], [0.823, 0.677, 0.000]],
  "magnetic_moment_mub_per_atom": 0.00,
  "rho_g_cm3": 6.1,
  "polymorph_energy_ev_per_atom": 0.1671,
  "n_ef_per_ev_cell": 7.2,
  "space_group": "P4/mbm",
  "formation_energy_ev_per_atom": -0.3541
}

Entry 5:
{
  "formula": "Tl2InF4",
  "functional": "GGA-PBE",
  "state": "relaxed",
  "lattice_angstrom": [[4.522, 0.000, 0.000], [0.000, 4.522, 0.000], [2.261, 2.261, 7.132]],
  "species": ["F", "Tl", "Tl", "In", "F", "F", "F"],
  "frac_coords": [[0.500, 0.000, 0.000], [0.655, 0.655, 0.690], [0.345, 0.345, 0.310], [0.000, 0.000, 0.000], [0.159, 0.159, 0.681], [0.000, 0.500, 0.000], [0.841, 0.841, 0.319]],
  "magnetic_moment_mub_per_atom": 0.00,
  "rho_g_cm3": 6.8,
  "polymorph_energy_ev_per_atom": 0.0000,
  "n_ef_per_ev_cell": 1.8,
  "space_group": "I4/mmm",
  "formation_energy_uncorrected_ev_per_atom": -1.90
}

Entry 6:
{
  "formula": "ThZrZn4",
  "functional": "GGA-PBE",
  "state": "relaxed",
  "lattice_angstrom": [[5.417, 0.000, 0.000], [2.709, 4.691, 0.000], [2.709, 1.564, 4.423]],
  "species": ["Zn", "Th", "Zr", "Zn", "Zn", "Zn"],
  "frac_coords": [[0.627, 0.627, 0.627], [0.250, 0.250, 0.250], [0.000, 0.000, 0.000], [0.627, 0.627, 0.120], [0.627, 0.120, 0.627], [0.120, 0.627, 0.627]],
  "magnetic_moment_mub_per_atom": 0.00,
  "rho_g_cm3": 8.6,
  "polymorph_energy_ev_per_atom": 0.0000,
  "n_ef_per_ev_cell": 4.8,
  "space_group": "F-43m",
  "formation_energy_ev_per_atom": -0.2380
}

Repeat the second record exactly.
{
  "formula": "LaTbPb2",
  "functional": "GGA-PBE",
  "state": "relaxed",
  "lattice_angstrom": [[-1.975, -2.392, 3.740], [2.830, -1.689, 3.570], [-0.470, 4.630, 5.869]],
  "species": ["Pb", "Tb", "La", "Pb"],
  "frac_coords": [[0.090, 0.090, 0.730], [0.495, 0.495, 0.514], [0.671, 0.671, 0.988], [0.244, 0.244, 0.267]],
  "magnetic_moment_mub_per_atom": 0.00,
  "rho_g_cm3": 8.3,
  "n_ef_per_ev_cell": 3.6,
  "space_group": "R3m",
  "formation_energy_ev_per_atom": -0.3761
}